The following is a PBE-GGA calculation of HgTeSe2 after structural relaxation, from Alexandria via LeMat-Bulk.

Structure (POSCAR):
```
HgTeSe2
1.0
-1.051 -1.062 -6.397
-0.326 -4.780 -4.495
-3.738 0.279 1.971
Hg Se Te
1 2 1
direct
0.247 0.247 0.248 Hg
0.999 0.999 0.998 Se
0.744 0.744 0.744 Se
0.510 0.510 0.510 Te
```

**Energy above the most stable polymorph in this dataset**: 0.095 eV/atom
**Uncorrected formation energy**: 0.008 eV per atom



The following is a PBE-GGA calculation of Hg2TeSe after structural relaxation, from Alexandria via LeMat-Bulk.

Structure (POSCAR):
```
Hg2TeSe
1.0
6.578 0.024 0.121
-2.598 6.934 -0.064
1.382 0.507 2.602
Hg Se Te
2 1 1
direct
0.000 0.000 0.000 Hg
0.500 0.000 0.500 Hg
0.000 0.500 0.500 Se
0.500 0.500 0.000 Te
```

**Energy above the most stable polymorph in this dataset**: 0.274 eV/atom
**Uncorrected formation energy**: 0.088 eV per atom



The following is a PBE-GGA calculation of HgTeSe2 after structural relaxation, from Alexandria via LeMat-Bulk.

Structure (POSCAR):
```
HgTeSe2
1.0
3.974 0.000 0.000
1.987 3.442 0.000
1.987 1.147 9.208
Hg Te Se
1 1 2
direct
0.499 0.499 0.503 Hg
0.667 0.667 0.999 Te
0.061 0.061 0.817 Se
0.273 0.273 0.181 Se
```

**Energy above the most stable polymorph in this dataset**: 0.090 eV/atom
**Uncorrected formation energy**: 0.002 eV per atom



The following is a PBE-GGA calculation of Hg2TeSe after structural relaxation, from Alexandria via LeMat-Bulk.

Structure (POSCAR):
```
Hg2TeSe
1.0
-2.554 4.206 -3.242
-5.533 -1.730 1.061
4.663 2.282 2.788
Hg Se Te
2 1 1
direct
0.001 0.001 0.000 Hg
0.742 0.242 0.500 Hg
0.485 0.485 0.000 Se
0.272 0.772 0.500 Te
```

**Energy above the most stable polymorph in this dataset**: 0.269 eV/atom
**Uncorrected formation energy**: 0.083 eV per atom



The following is a PBE-GGA calculation of HgTeSe2 after structural relaxation, from Alexandria via LeMat-Bulk.

Structure (POSCAR):
```
HgTeSe2
1.0
4.506 -0.012 0.000
-2.729 3.586 0.000
0.000 0.000 7.816
Hg Se Te
1 2 1
direct
0.500 0.500 0.750 Hg
0.000 0.000 0.000 Se
0.000 0.000 0.500 Se
0.500 0.500 0.250 Te
```

**Energy above the most stable polymorph in this dataset**: 0.197 eV/atom
**Uncorrected formation energy**: 0.109 eV per atom



The following is a PBE-GGA calculation of Hg2TeSe after structural relaxation, from Alexandria via LeMat-Bulk.

Structure (POSCAR):
```
Hg2TeSe
1.0
-8.209 -6.689 7.968
-6.080 -6.013 10.123
-8.345 -3.988 9.490
Hg Se Te
2 1 1
direct
0.997 0.997 0.997 Hg
0.503 0.503 0.503 Hg
0.250 0.250 0.250 Se
0.750 0.750 0.750 Te
```

**Energy above the most stable polymorph in this dataset**: 0.448 eV/atom
**Uncorrected formation energy**: 0.262 eV per atom



The following is a PBE-GGA calculation of HgTeSe2 after structural relaxation, from Alexandria via LeMat-Bulk.

Structure (POSCAR):
```
HgTeSe2
1.0
4.140 0.000 0.000
0.000 4.135 0.000
0.000 0.000 6.091
Te Hg Se
1 1 2
direct
0.000 0.000 0.375 Te
0.500 0.500 0.875 Hg
0.000 0.000 0.875 Se
0.500 0.500 0.375 Se
```

**Energy above the most stable polymorph in this dataset**: 0.076 eV/atom
**Uncorrected formation energy**: -0.012 eV per atom



The following is a PBE-GGA calculation of HgTeSe2 after structural relaxation, from Alexandria via LeMat-Bulk.

Structure (POSCAR):
```
HgTeSe2
1.0
3.615 0.000 0.000
0.000 3.615 0.000
0.000 0.000 7.390
Hg Se Te
1 2 1
direct
0.500 0.500 0.750 Hg
0.000 0.000 0.019 Se
0.000 0.000 0.481 Se
0.500 0.500 0.250 Te
```

**Energy above the most stable polymorph in this dataset**: 0.387 eV/atom
**Uncorrected formation energy**: 0.299 eV per atom



The following is a PBE-GGA calculation of Hg3Te2Se after structural relaxation, from Alexandria via LeMat-Bulk.

Structure (POSCAR):
```
Hg3Te2Se
1.0
4.418 0.000 -1.335
-0.812 5.873 -2.688
0.004 0.048 7.988
Hg Te Se
3 2 1
direct
0.000 0.014 0.000 Hg
0.341 0.331 0.682 Hg
0.659 0.650 0.318 Hg
0.834 0.585 0.668 Te
0.166 0.917 0.332 Te
0.500 0.246 0.000 Se
```

**Uncorrected formation energy**: -0.178 eV per atom



The following is a PBE-GGA calculation of HgTeSe2 after structural relaxation, from Alexandria via LeMat-Bulk.

Structure (POSCAR):
```
HgTeSe2
1.0
-8.233 0.568 3.802
-8.622 -2.799 -0.619
9.022 -1.074 0.024
Hg Se Te
1 2 1
direct
0.750 0.250 0.500 Hg
0.000 0.000 0.000 Se
0.250 0.750 0.500 Se
0.500 0.500 0.000 Te
```

**Energy above the most stable polymorph in this dataset**: 0.209 eV/atom
**Uncorrected formation energy**: 0.122 eV per atom



The following is a PBE-GGA calculation of Hg2Te2Se after structural relaxation, from Alexandria via LeMat-Bulk.

Structure (POSCAR):
```
Hg2Te2Se
1.0
4.246 0.000 0.000
0.000 4.246 0.000
2.123 2.123 8.198
Te Hg Se
2 2 1
direct
0.750 0.250 0.500 Te
0.250 0.750 0.500 Te
0.414 0.414 0.172 Hg
0.586 0.586 0.828 Hg
0.000 0.000 0.000 Se
```

**Energy above the most stable polymorph in this dataset**: 0.193 eV/atom
**Uncorrected formation energy**: 0.264 eV per atom



The following is a PBE-GGA calculation of Hg2Te2Se after structural relaxation, from Alexandria via LeMat-Bulk.

Structure (POSCAR):
```
Hg2Te2Se
1.0
7.258 0.000 0.000
0.000 7.258 0.000
0.000 0.000 6.131
Te Hg Se
4 4 2
direct
0.133 0.633 0.500 Te
0.633 0.867 0.500 Te
0.867 0.367 0.500 Te
0.367 0.133 0.500 Te
0.153 0.653 0.000 Hg
0.653 0.847 0.000 Hg
0.847 0.347 0.000 Hg
0.347 0.153 0.000 Hg
0.000 0.000 0.000 Se
0.500 0.500 0.000 Se
```

**Energy above the most stable polymorph in this dataset**: 0.061 eV/atom
**Uncorrected formation energy**: 0.133 eV per atom



Asked for Fermi-level density of states across the records above, the calculation gives 1.3, 1.6, 0.5, 1.4, 2.7, 2.3, 2.6, 1.8, 0.6, 1.7, 3.0, 8.6 states/eV/cell in order.